DFT (meta-GGA SCAN) results for a PBEsol-optimized structure of EuI2.

Lattice parameters (Å, degrees): 7.4209 7.7603 8.1023 90.00 90.00 98.28
Atoms (fractional coordinates):
Eu (0.7910, 0.1915, 0.0555)
Eu (0.2090, 0.3085, 0.5555)
Eu (0.2090, 0.8085, 0.9445)
Eu (0.7910, 0.6915, 0.4445)
I (0.0816, 0.5043, 0.2266)
I (0.9184, 0.9957, 0.7266)
I (0.9184, 0.4957, 0.7734)
I (0.0816, 0.0043, 0.2734)
I (0.5965, 0.7887, 0.1110)
I (0.4035, 0.7113, 0.6110)
I (0.4035, 0.2113, 0.8890)
I (0.5965, 0.2887, 0.3890)

Computed properties:
- ΔE_f (raw): -506 kJ/mol of formula units
- Total magnetic moment: 2.33 μB/atom
- Raw total energy: -44.15 eV/atom
- Density: 5.84 g/cm³

DFT (meta-GGA SCAN) results for a PBEsol-optimized structure of EuI2.

Lattice parameters (Å, degrees): 7.6940 8.0657 14.7629 90.00 90.00 90.00
Atoms (fractional coordinates):
Eu (0.7773, 0.5544, 0.3924)
Eu (0.7227, 0.0544, 0.6076)
Eu (0.2227, 0.4456, 0.6076)
Eu (0.7773, 0.0544, 0.1076)
Eu (0.2773, 0.9456, 0.3924)
Eu (0.2773, 0.4456, 0.1076)
Eu (0.7227, 0.5544, 0.8924)
Eu (0.2227, 0.9456, 0.8924)
I (0.3363, 0.6039, 0.7983)
I (0.0076, 0.7710, 0.5373)
I (0.4924, 0.7710, 0.0373)
I (0.4924, 0.2710, 0.4627)
I (0.8363, 0.8961, 0.7983)
I (0.8363, 0.3961, 0.7017)
I (0.1637, 0.6039, 0.2983)
I (0.0076, 0.2710, 0.9627)
I (0.5076, 0.7290, 0.5373)
I (0.5076, 0.2290, 0.9627)
I (0.6637, 0.8961, 0.2983)
I (0.3363, 0.1039, 0.7017)
I (0.9924, 0.2290, 0.4627)
I (0.9924, 0.7290, 0.0373)
I (0.6637, 0.3961, 0.2017)
I (0.1637, 0.1039, 0.2017)

Computed properties:
- ΔE_f (raw): -506 kJ/mol of formula units
- Total magnetic moment: 2.33 μB/atom
- Raw total energy: -44.14 eV/atom
- Density: 5.88 g/cm³

DFT (meta-GGA SCAN) results for a PBEsol-optimized structure of EuI2.

Lattice parameters (Å, degrees): 4.7371 8.2198 12.0457 90.00 90.00 90.00
Atoms (fractional coordinates):
Eu (0.2500, 0.1274, 0.1734)
Eu (0.7500, 0.6274, 0.3266)
Eu (0.2500, 0.3726, 0.6734)
Eu (0.7500, 0.8726, 0.8266)
I (0.2500, 0.3705, 0.3943)
I (0.2500, 0.8795, 0.3813)
I (0.7500, 0.3795, 0.1187)
I (0.2500, 0.6205, 0.8813)
I (0.2500, 0.1295, 0.8943)
I (0.7500, 0.8705, 0.1057)
I (0.7500, 0.1205, 0.6187)
I (0.7500, 0.6295, 0.6057)

Computed properties:
- ΔE_f (raw): -509 kJ/mol of formula units
- Total magnetic moment: 2.33 μB/atom
- Raw total energy: -44.16 eV/atom
- Density: 5.75 g/cm³